# 1
# Tl8InAu6

Tl8InAu6 after structural relaxation (PBE, the Alexandria database).

Structure (POSCAR):
```
Tl8InAu6
1.0
4.399 2.540 5.623
-4.399 2.540 5.623
0.000 -5.079 5.623
Tl In Au
8 1 6
Direct
0.100 0.100 0.100
0.124 0.551 0.265
0.265 0.124 0.551
0.449 0.735 0.876
0.551 0.265 0.124
0.735 0.876 0.449
0.876 0.449 0.735
0.900 0.900 0.900
0.500 0.500 0.500
0.149 0.809 0.493
0.191 0.507 0.851
0.493 0.149 0.809
0.507 0.851 0.191
0.809 0.493 0.149
0.851 0.191 0.507
```

## Properties
**Space-group type**: R-3, No. 148
**Total moment**: 0.000 μB/f.u.



# 2
# TlInAu4

TlInAu4 after structural relaxation (PBE, the Alexandria database).

Structure (POSCAR):
```
TlInAu4
1.0
3.631 -3.963 0.000
3.631 3.963 0.000
-3.501 0.000 8.635
Tl In Au
2 2 8
Direct
0.214 0.786 0.000
0.786 0.214 0.000
0.000 0.000 0.500
0.500 0.500 0.500
0.062 0.599 0.663
0.201 0.201 0.827
0.374 0.374 0.173
0.401 0.938 0.337
0.599 0.062 0.663
0.626 0.626 0.827
0.799 0.799 0.173
0.938 0.401 0.337
```

## Properties
**Space-group type**: C2/m, No. 12
**Total moment**: 0.000 μB/f.u.



Calculated final energy in order - -2.781 -3.068 eV per atom
Calculated DOS at the Fermi energy in order - 0.432 0.292 states/eV/atom